The following is a GGA-PBE calculation of a relaxed structure of Er2B2Os, from Alexandria via LeMat-Bulk.

Cell and atoms, written as POSCAR:
```
Er2B2Os
1.0
3.688 0.000 0.000
1.844 5.525 0.029
1.844 0.865 7.952
Er B Os
4 4 2
Cartesian
1.844 1.478 0.772
3.688 2.485 5.424
3.688 3.905 2.557
5.533 4.913 7.209
1.844 1.175 7.090
5.533 4.712 4.545
5.533 5.215 0.892
1.844 1.678 3.436
3.688 5.657 5.084
3.688 0.734 2.898
```


The following is a GGA-PBE calculation of a relaxed structure of Ti5Zn2In2, from Alexandria via LeMat-Bulk.

Cell and atoms, written as POSCAR:
```
Ti5Zn2In2
1.0
-5.423 -2.652 -4.561
3.871 -2.478 -3.161
0.239 -3.836 8.221
Ti Zn In
10 4 4
Cartesian
1.830 -3.673 1.745
-4.360 -4.514 -0.253
-0.669 -3.677 6.070
-3.796 -3.271 -2.998
-0.930 -3.834 3.413
1.267 -4.916 4.489
-1.774 -6.433 -0.505
-1.860 -4.510 -4.579
-1.600 -4.353 -1.922
-0.755 -1.754 1.997
-1.267 -4.093 0.746
0.670 -5.331 -0.833
-1.384 -2.176 -3.365
3.263 -2.089 -2.665
1.018 -4.307 -3.674
-3.193 -5.892 2.255
0.323 -6.358 2.004
0.664 -2.295 -0.763
```


| no. | mass density (g/cm3) | formation enthalpy at 0 K (meV/atom) |
| --- | --- | --- |
| 1 | 11.20 | -370 |
| 2 | 6.08 | -49 |